(1)
Sm2Ag3Au2 | PBE | optimized geometry

Cell: 3.6838 4.1447 10.6387 Å, 101.23 90.00 90.00°
With the nearest neighbours (Å) after each atom.
Fractional positions:
Au 0.5000 0.7054 0.4108  2 Au 2.79, 1 Ag 2.92, 4 Sm 3.00
Au 0.5000 0.2946 0.5892  2 Au 2.79, 1 Ag 2.92, 4 Sm 3.00
Sm 0.0000 0.8496 0.6992  4 Au 3.00, 5 Ag 3.14-3.29
Sm 0.0000 0.1504 0.3008  4 Au 3.00, 5 Ag 3.14-3.29
Ag 0.5000 0.4343 0.8686  1 Ag 2.74, 1 Au 2.92
Ag 0.5000 0.5657 0.1314  1 Ag 2.74, 1 Au 2.92
Ag 0.0000 0.0000 0.0000  8 Ag 3.09, 2 Sm 3.14

---

(2)
SmAgAu2 | PBE | optimized geometry

Properties
The energy above the most stable polymorph in this dataset is 0.0000 eV per atom.

Cell: 4.9558 4.9558 4.9558 Å, 60.00 60.00 60.00°
With the nearest neighbours (Å) after each atom.
Fractional positions:
Au 0.2500 0.2500 0.2500  4 Sm 3.03, 4 Ag 3.03
Au 0.7500 0.7500 0.7500  4 Ag 3.03, 4 Sm 3.03
Ag 0.5000 0.5000 0.5000  8 Au 3.03
Sm 0.0000 0.0000 0.0000  8 Au 3.03

---

(3)
Sm2AgAu2 | PBE | optimized geometry

Cell: 3.8909 7.9328 7.9328 Å, 90.00 90.00 90.00°
With the nearest neighbours (Å) after each atom.
Fractional positions:
Sm 0.5000 0.8289 0.3289  6 Au 2.96-3.10
Sm 0.5000 0.1711 0.6711  6 Au 2.96-3.10
Sm 0.5000 0.6711 0.8289  6 Au 2.96-3.10
Sm 0.5000 0.3289 0.1711  6 Au 2.96-3.10
Au 0.0000 0.1298 0.3702  1 Au 2.91, 6 Sm 2.96-3.10, 2 Ag 3.11
Au 0.0000 0.6298 0.1298  1 Au 2.91, 6 Sm 2.96-3.10, 2 Ag 3.11
Au 0.0000 0.3702 0.8702  1 Au 2.91, 6 Sm 2.96-3.10, 2 Ag 3.11
Au 0.0000 0.8702 0.6298  1 Au 2.91, 6 Sm 2.96-3.10, 2 Ag 3.11
Ag 0.0000 0.5000 0.5000  4 Au 3.11
Ag 0.0000 0.0000 0.0000  4 Au 3.11

---

no.,energy relative to the elements (eV/f.u.)
1,-2.9
2,-2.3
3,-3.3